PBE BeTl5I8, relaxed; crystal system = tetragonal; formation energy (no corrections) = -51.21 kJ/mol of atoms; E_tot = -2.53 eV/atom
1.0
8.589 -0.886 -4.253
-5.073 8.110 -1.062
-0.554 0.886 9.568
Be Tl I
1 5 8
Direct
0.500 0.750 0.250
0.768 0.652 0.883
0.231 0.116 0.348
0.232 0.115 0.884
0.000 0.500 0.500
0.769 0.117 0.885
0.293 0.439 0.147
0.707 0.854 0.561
0.737 0.369 0.105
0.736 0.368 0.631
0.264 0.895 0.631
0.293 0.853 0.147
0.707 0.853 0.146
0.263 0.369 0.632